No. 1
Here is a relaxed structure of Pr12Re3N5 from Alexandria via LeMat-Bulk. Energies are from PBE.

extended XYZ file:
```
80
Lattice="-7.949 7.949 7.949 7.949 -7.949 7.949 7.949 7.949 -7.949" Properties=species:S:1:pos:R:3 pbc="T T T"
Pr 2.416 -0.435 0.849
Pr 9.507 4.823 -4.409
Pr 10.365 0.435 0.849
Pr 9.507 -3.126 4.409
Pr 7.514 -0.849 2.416
Pr 12.358 -1.558 3.126
Pr 0.849 2.416 -0.435
Pr 11.074 3.540 -1.558
Pr 4.823 4.409 -1.558
Pr 7.100 2.416 0.435
Pr -0.435 0.849 2.416
Pr 4.409 -1.558 4.823
Pr 7.514 7.100 -2.416
Pr 4.409 1.558 3.126
Pr 4.823 -4.409 9.507
Pr 7.100 -2.416 7.514
Pr 3.126 4.409 1.558
Pr 8.797 5.533 0.435
Pr 4.409 9.507 -3.126
Pr 7.514 0.849 5.533
Pr 2.416 7.514 -0.849
Pr 9.507 3.126 3.540
Pr 1.558 3.126 4.409
Pr 2.416 0.435 7.100
Pr 5.533 7.514 0.849
Pr 6.390 4.823 3.540
Pr -1.558 4.823 4.409
Pr 5.533 0.435 8.797
Pr 0.435 7.100 2.416
Pr 3.540 -1.558 11.074
Pr -0.849 2.416 7.514
Pr 4.823 3.540 6.390
Pr 0.849 10.365 0.435
Pr 3.126 12.358 -1.558
Pr 3.540 6.390 4.823
Pr 0.435 0.849 10.365
Pr 3.540 9.507 3.126
Pr 8.383 7.100 5.533
Pr 0.849 5.533 7.514
Pr 3.126 3.540 9.507
Pr -3.126 4.409 9.507
Pr 7.100 5.533 8.383
Pr -4.409 9.507 4.823
Pr 0.435 8.797 5.533
Pr -1.558 11.074 3.540
Pr -2.416 7.514 7.100
Pr -1.558 3.126 12.358
Pr 5.533 8.383 7.100
Re 3.974 1.987 0.000
Re 7.949 3.974 -1.987
Re 1.987 0.000 3.974
Re 9.936 0.000 3.974
Re 0.000 3.974 1.987
Re 3.974 -1.987 7.949
Re 3.974 9.936 0.000
Re 7.949 3.974 5.961
Re -1.987 7.949 3.974
Re 5.961 7.949 3.974
Re 0.000 3.974 9.936
Re 3.974 5.961 7.949
N 0.000 0.000 0.000
N 3.974 3.974 -3.974
N 3.974 -3.974 3.974
N 7.949 0.000 0.000
N 11.923 1.987 0.000
N 7.949 -3.974 5.961
N 5.961 7.949 -3.974
N 5.961 0.000 3.974
N 3.974 5.961 0.000
N 7.949 3.974 1.987
N -3.974 3.974 3.974
N 0.000 7.949 0.000
N 0.000 0.000 7.949
N 3.974 3.974 3.974
N 0.000 3.974 5.961
N 3.974 1.987 7.949
N 1.987 7.949 3.974
N 1.987 0.000 11.923
N 0.000 11.923 1.987
N -3.974 5.961 7.949
```

E	-7.20	eV per atom
V	502.2	Å³/f.u.
E_form (uncorrected)	-388	meV per atom

No. 2
Here is a relaxed structure of Ge2Sb2Au from Alexandria via LeMat-Bulk. Energies are from PBE.

extended XYZ file:
```
10
Lattice="6.485 0.000 0.000 0.000 6.485 0.000 0.000 0.000 5.807" Properties=species:S:1:pos:R:3 pbc="T T T"
Ge 0.879 2.363 0.000
Ge 2.363 5.606 0.000
Ge 4.122 0.879 0.000
Ge 5.606 4.122 0.000
Sb 1.124 2.119 2.904
Sb 2.119 5.361 2.904
Sb 4.366 1.124 2.904
Sb 5.361 4.366 2.904
Au 0.000 0.000 0.000
Au 3.243 3.243 0.000
```

E	-4.04	eV per atom
V	122.1	Å³/f.u.
E_form (uncorrected)	106	meV per atom
E above lowest polymorph	0	meV per atom

No. 3
Here is a relaxed structure of Cu2HPt from Alexandria via LeMat-Bulk. Energies are from PBE.

extended XYZ file:
```
8
Lattice="4.739 0.000 0.000 0.000 2.738 0.000 -1.563 0.000 6.549" Properties=species:S:1:pos:R:3 pbc="T T T"
Cu 0.000 0.000 0.000
Cu 0.011 0.000 4.406
Cu 2.370 1.369 0.000
Cu 2.381 1.369 4.406
H -0.771 1.369 5.463
H 1.598 0.000 5.463
Pt 0.803 1.369 2.200
Pt 3.172 0.000 2.200
```

E	-4.41	eV per atom
V	42.5	Å³/f.u.
E above lowest polymorph	3	meV per atom

No. 4
Here is a relaxed structure of Ni2TeAs from Alexandria via LeMat-Bulk. Energies are from PBE.

extended XYZ file:
```
8
Lattice="6.899 0.000 0.000 0.000 3.454 0.000 -1.665 0.000 5.538" Properties=species:S:1:pos:R:3 pbc="T T T"
Ni 1.345 0.000 1.052
Ni 0.439 1.727 4.485
Ni 4.795 1.727 1.052
Ni 3.888 0.000 4.485
Te -0.833 0.000 2.769
Te 2.617 1.727 2.769
As 0.000 1.727 0.000
As 3.450 0.000 0.000
```

E	-4.92	eV per atom
V	66.0	Å³/f.u.
E_form (uncorrected)	-78	meV per atom

No. 5
Here is a relaxed structure of LaH6Pd2Pt from Alexandria via LeMat-Bulk. Energies are from PBE.

extended XYZ file:
```
10
Lattice="4.900 0.000 0.000 -0.024 5.107 0.000 -2.387 -2.365 4.175" Properties=species:S:1:pos:R:3 pbc="T T T"
La 0.000 0.000 0.000
H -1.160 0.267 3.525
H 1.139 2.976 1.844
H 2.454 4.414 0.459
H 2.442 1.018 0.530
H 1.443 0.162 3.683
H 3.759 2.986 1.885
Pd 0.004 1.746 2.379
Pd 2.446 0.181 2.200
Pt 2.471 2.720 0.678
```

E	-4.49	eV per atom
V	104.5	Å³/f.u.

No. 6
Here is a relaxed structure of CaTi2NbSb from Alexandria via LeMat-Bulk. Energies are from PBE.

extended XYZ file:
```
5
Lattice="5.063 0.000 0.000 0.000 5.063 0.000 0.000 0.000 5.549" Properties=species:S:1:pos:R:3 pbc="T T T"
Ca 0.000 0.000 0.000
Ti 0.000 2.532 2.774
Ti 2.532 0.000 2.774
Nb 2.532 2.532 0.000
Sb 0.000 0.000 2.774
```

E	-5.34	eV per atom
V	142.2	Å³/f.u.
E_form (uncorrected)	1060	meV per atom

No. 7
Here is a relaxed structure of MoRhCl2 from Alexandria via LeMat-Bulk. Energies are from PBE.

extended XYZ file:
```
4
Lattice="2.925 0.000 0.000 0.000 4.190 0.000 0.000 0.000 5.409" Properties=species:S:1:pos:R:3 pbc="T T T"
Mo 0.000 0.000 0.000
Rh 1.462 0.000 2.704
Cl 0.000 2.095 2.704
Cl 1.462 2.095 0.000
```

E	-5.01	eV per atom
V	66.3	Å³/f.u.
E_form (uncorrected)	462	meV per atom
E above lowest polymorph	711	meV per atom

No. 8
Here is a relaxed structure of SrTlN from Alexandria via LeMat-Bulk. Energies are from PBE.

extended XYZ file:
```
6
Lattice="3.813 0.000 0.000 1.896 3.647 0.000 0.015 2.108 10.829" Properties=species:S:1:pos:R:3 pbc="T T T"
Sr 0.958 1.879 3.881
Sr 4.766 3.876 6.949
Tl 2.863 5.133 9.679
Tl 2.861 0.622 1.150
N 2.862 3.415 5.058
N 2.862 2.339 5.771
```

E	-4.50	eV per atom
V	75.3	Å³/f.u.
E_form (uncorrected)	-375	meV per atom
E above lowest polymorph	0	meV per atom

- Look up the E of the sixth one.
  -5.34 eV per atom

- What is the E in the eighth record?
  -4.50 eV per atom